Arrangement w

CaWI2O | Alexandria via LeMat-Bulk | PBE+U | optimized geometry; V = 31.3 A^3/atom; crystal system = tetragonal; symmetry = No. 123
1.0
6.134 0.000 0.000
0.000 6.134 0.000
0.000 0.000 4.154
Ca W I O
1 1 2 1
Direct
0.000 0.000 0.000 Ca
0.500 0.500 0.500 W
0.000 0.500 0.000 I
0.500 0.000 0.000 I
0.000 0.000 0.500 O

***

Arrangement x

CaWI2O | Alexandria via LeMat-Bulk | PBE+U | optimized geometry; V = 29.4 A^3/atom; crystal system = tetragonal; symmetry = No. 123
1.0
6.092 0.000 0.000
0.000 6.092 0.000
0.000 0.000 3.965
Ca W I O
1 1 2 1
Direct
0.000 0.000 0.000 Ca
0.500 0.500 0.500 W
0.000 0.500 0.500 I
0.500 0.000 0.500 I
0.500 0.500 0.000 O

***

Result of the stability comparison: arrangement x is the most stable of them.